No. 1
# K3NpU3Te8

Crystalline K3NpU3Te8 at its relaxed geometry (GGA-PBE, the Alexandria database).

Computed properties:
crystal system: trigonal
total magnetization: 12.0 μB per cell
uncorrected energy: -87.668 eV/cell

Geometry as CIF:
```
data_K3NpU3Te8
_chemical_formula_sum 'K3 Np1 U3 Te8'
_cell_length_a 8.912
_cell_length_b 8.911
_cell_length_c 9.852
_cell_angle_alpha 116.88
_cell_angle_beta 90.00
_cell_angle_gamma 120.01
_space_group_name_H-M_alt 'P 1'
_space_group_IT_number 1
_space_group_name_Hall 'P 1'
loop_
_atom_site_label
_atom_site_type_symbol
_atom_site_fract_x
_atom_site_fract_y
_atom_site_fract_z
_atom_site_occupancy
Te1 Te 0.732 0.970 0.709 1
Te2 Te 0.762 0.523 0.291 1
Te3 Te 0.238 0.477 0.709 1
Te4 Te 0.268 0.030 0.291 1
Te5 Te 0.238 0.970 0.709 1
Te6 Te 0.263 0.525 0.288 1
Te7 Te 0.762 0.030 0.291 1
Te8 Te 0.737 0.475 0.712 1
K1 K 0.500 0.500 0.000 1
K2 K 0.000 0.000 0.000 1
K3 K 0.000 0.500 0.000 1
U1 U 0.000 0.500 0.500 1
U2 U 0.500 0.500 0.500 1
U3 U 0.500 0.000 0.500 1
Np1 Np 0.000 0.000 0.500 1
```

=====

No. 2
# NaYBr

Crystalline NaYBr at its relaxed geometry (GGA-PBE, the Alexandria database).

Computed properties:
crystal system: trigonal
total magnetization: 2.2 μB per cell
uncorrected energy: -46.715 eV/cell

Geometry as CIF:
```
data_NaYBr
_chemical_formula_sum 'Na4 Y4 Br4'
_cell_length_a 3.751
_cell_length_b 3.751
_cell_length_c 29.195
_cell_angle_alpha 90.00
_cell_angle_beta 90.00
_cell_angle_gamma 120.00
_space_group_name_H-M_alt 'P 1'
_space_group_IT_number 1
_space_group_name_Hall 'P 1'
loop_
_atom_site_label
_atom_site_type_symbol
_atom_site_fract_x
_atom_site_fract_y
_atom_site_fract_z
_atom_site_occupancy
Br1 Br 0.667 0.333 0.374 1
Br2 Br 0.667 0.333 0.878 1
Br3 Br 0.333 0.667 0.626 1
Br4 Br 0.333 0.667 0.122 1
Y1 Y 0.333 0.667 0.453 1
Y2 Y 0.667 0.333 0.702 1
Y3 Y 0.333 0.667 0.298 1
Y4 Y 0.667 0.333 0.547 1
Na1 Na 0.667 0.333 0.057 1
Na2 Na 0.333 0.667 0.943 1
Na3 Na 0.667 0.333 0.191 1
Na4 Na 0.333 0.667 0.809 1
```

=====

No. 3
# RbAc2PaS6

Crystalline RbAc2PaS6 at its relaxed geometry (GGA-PBE, the Alexandria database).

Computed properties:
crystal system: trigonal
total magnetization: 0.0 μB per cell
uncorrected energy: -61.790 eV/cell

Geometry as CIF:
```
data_RbAc2PaS6
_chemical_formula_sum 'Rb1 Ac2 Pa1 S6'
_cell_length_a 7.516
_cell_length_b 7.517
_cell_length_c 7.926
_cell_angle_alpha 61.70
_cell_angle_beta 61.70
_cell_angle_gamma 60.00
_space_group_name_H-M_alt 'P 1'
_space_group_IT_number 1
_space_group_name_Hall 'P 1'
loop_
_atom_site_label
_atom_site_type_symbol
_atom_site_fract_x
_atom_site_fract_y
_atom_site_fract_z
_atom_site_occupancy
S1 S 0.573 0.239 0.229 1
S2 S 0.959 0.573 0.229 1
S3 S 0.359 0.703 0.760 1
S4 S 0.703 0.178 0.760 1
S5 S 0.239 0.959 0.229 1
S6 S 0.178 0.359 0.760 1
Ac1 Ac 0.007 0.007 0.978 1
Ac2 Ac 0.526 0.526 0.421 1
Pa1 Pa 0.326 0.326 0.023 1
Rb1 Rb 0.791 0.791 0.626 1
```

=====

The highest uncorrected energy belongs to which entry? NaYBr